(1)
# KSiW2 | the Alexandria database | PBE-GGA | optimized geometry
data_KSiW2
_chemical_formula_sum 'K2 Si2 W4'
_cell_length_a 4.6387
_cell_length_b 4.6555
_cell_length_c 6.5837
_cell_angle_alpha 90.00
_cell_angle_beta 90.00
_cell_angle_gamma 90.00
_space_group_name_H-M_alt 'I m m 2'
_space_group_IT_number 44
loop_
_space_group_symop_operation_xyz
'x,y,z'
'-x,-y,z'
'-x,y,z'
'x,-y,z'
'x+1/2,y+1/2,z+1/2'
'-x+1/2,-y+1/2,z+1/2'
'-x+1/2,y+1/2,z+1/2'
'x+1/2,-y+1/2,z+1/2'
loop_
_atom_site_label
_atom_site_type_symbol
_atom_site_fract_x
_atom_site_fract_y
_atom_site_fract_z
_atom_site_occupancy
K1 K 0.0000 0.0000 0.0000 1
Si1 Si 0.0000 0.5000 0.7511 1
W1 W 0.0000 0.0000 0.5009 1
W2 W 0.0000 0.5000 0.2487 1
# DOS at the Fermi energy ... 6.8 states/eV per cell
# E_form (uncorrected) ... 1.326 eV/atom
# Total energy ... -6.781 eV per atom

(2)
# KSi2W | the Alexandria database | PBE-GGA | optimized geometry
data_KSi2W
_chemical_formula_sum 'K2 Si4 W2'
_cell_length_a 3.9789
_cell_length_b 3.9789
_cell_length_c 9.2792
_cell_angle_alpha 90.00
_cell_angle_beta 90.00
_cell_angle_gamma 90.00
_space_group_name_H-M_alt 'I -4 m 2'
_space_group_IT_number 119
_space_group_name_Hall 'I -4 -2'
loop_
_atom_site_label
_atom_site_type_symbol
_atom_site_fract_x
_atom_site_fract_y
_atom_site_fract_z
_atom_site_occupancy
K1 K 0.0000 0.0000 0.0000 1
Si1 Si 0.0000 0.0000 0.5000 1
Si2 Si 0.0000 0.5000 0.7500 1
W1 W 0.0000 0.5000 0.2500 1
# DOS at the Fermi energy ... 5.8 states/eV per cell
# E_form (uncorrected) ... 1.288 eV/atom
# Total energy ... -4.936 eV per atom

(3)
# KSi2W | the Alexandria database | PBE-GGA | optimized geometry
data_KSi2W
_chemical_formula_sum 'K1 Si2 W1'
_cell_length_a 5.1383
_cell_length_b 5.1383
_cell_length_c 2.6991
_cell_angle_alpha 90.00
_cell_angle_beta 90.00
_cell_angle_gamma 90.00
_space_group_name_H-M_alt 'P 4/m m m'
_space_group_IT_number 123
_space_group_name_Hall '-P 4 2'
loop_
_atom_site_label
_atom_site_type_symbol
_atom_site_fract_x
_atom_site_fract_y
_atom_site_fract_z
_atom_site_occupancy
K1 K 0.0000 0.0000 0.0000 1
Si1 Si 0.0000 0.5000 0.5000 1
W1 W 0.5000 0.5000 0.0000 1
# DOS at the Fermi energy ... 2.0 states/eV per cell
# E_form (uncorrected) ... 0.974 eV/atom
# Total energy ... -5.250 eV per atom

(4)
# KSi2W | the Alexandria database | PBE-GGA | optimized geometry
data_KSi2W
_chemical_formula_sum 'K1 Si2 W1'
_cell_length_a 2.7743
_cell_length_b 4.7843
_cell_length_c 5.7823
_cell_angle_alpha 90.00
_cell_angle_beta 90.00
_cell_angle_gamma 90.00
_space_group_name_H-M_alt 'P m m m'
_space_group_IT_number 47
loop_
_space_group_symop_operation_xyz
'x,y,z'
'-x,-y,-z'
'-x,-y,z'
'x,y,-z'
'x,-y,-z'
'-x,y,z'
'-x,y,-z'
'x,-y,z'
loop_
_atom_site_label
_atom_site_type_symbol
_atom_site_fract_x
_atom_site_fract_y
_atom_site_fract_z
_atom_site_occupancy
K1 K 0.0000 0.0000 0.0000 1
Si1 Si 0.0000 0.5000 0.5000 1
Si2 Si 0.5000 0.5000 0.0000 1
W1 W 0.5000 0.0000 0.5000 1
# DOS at the Fermi energy ... 3.0 states/eV per cell
# E_form (uncorrected) ... 1.294 eV/atom
# Total energy ... -4.930 eV per atom

(5)
# KSiW3 | the Alexandria database | PBE-GGA | optimized geometry
data_KSiW3
_chemical_formula_sum 'K1 Si1 W3'
_cell_length_a 4.5266
_cell_length_b 4.5266
_cell_length_c 4.5266
_cell_angle_alpha 90.00
_cell_angle_beta 90.00
_cell_angle_gamma 90.00
_space_group_name_H-M_alt 'P m -3 m'
_space_group_IT_number 221
_space_group_name_Hall '-P 4 2 3'
loop_
_atom_site_label
_atom_site_type_symbol
_atom_site_fract_x
_atom_site_fract_y
_atom_site_fract_z
_atom_site_occupancy
K1 K 0.0000 0.0000 0.0000 1
Si1 Si 0.5000 0.5000 0.5000 1
W1 W 0.0000 0.0000 0.5000 1
# DOS at the Fermi energy ... 7.1 states/eV per cell
# E_form (uncorrected) ... 3.798 eV/atom
# Total energy ... -5.278 eV per atom

(6)
# KSiW2 | the Alexandria database | PBE-GGA | optimized geometry
data_KSiW2
_chemical_formula_sum 'K1 Si1 W2'
_cell_length_a 3.2363
_cell_length_b 3.2363
_cell_length_c 8.2549
_cell_angle_alpha 90.00
_cell_angle_beta 90.00
_cell_angle_gamma 90.00
_space_group_name_H-M_alt 'P 4 m m'
_space_group_IT_number 99
loop_
_space_group_symop_operation_xyz
'x,y,z'
'-y,x,z'
'-x,-y,z'
'y,-x,z'
'-x,y,z'
'y,x,z'
'x,-y,z'
'-y,-x,z'
loop_
_atom_site_label
_atom_site_type_symbol
_atom_site_fract_x
_atom_site_fract_y
_atom_site_fract_z
_atom_site_occupancy
K1 K 0.0000 0.0000 0.0000 1
Si1 Si 0.5000 0.5000 0.3070 1
W1 W 0.0000 0.0000 0.4684 1
W2 W 0.5000 0.5000 0.6324 1
# DOS at the Fermi energy ... 4.2 states/eV per cell
# E_form (uncorrected) ... 0.601 eV/atom
# Total energy ... -7.506 eV per atom

(7)
# KSiW2 | the Alexandria database | PBE-GGA | optimized geometry
data_KSiW2
_chemical_formula_sum 'K2 Si2 W4'
_cell_length_a 2.9547
_cell_length_b 5.4524
_cell_length_c 10.3054
_cell_angle_alpha 90.00
_cell_angle_beta 90.00
_cell_angle_gamma 90.00
_space_group_name_H-M_alt 'I m m 2'
_space_group_IT_number 44
loop_
_space_group_symop_operation_xyz
'x,y,z'
'-x,-y,z'
'-x,y,z'
'x,-y,z'
'x+1/2,y+1/2,z+1/2'
'-x+1/2,-y+1/2,z+1/2'
'-x+1/2,y+1/2,z+1/2'
'x+1/2,-y+1/2,z+1/2'
loop_
_atom_site_label
_atom_site_type_symbol
_atom_site_fract_x
_atom_site_fract_y
_atom_site_fract_z
_atom_site_occupancy
K1 K 0.0000 0.0000 0.0000 1
Si1 Si 0.0000 0.5000 0.7946 1
W1 W 0.0000 0.0000 0.5100 1
W2 W 0.0000 0.5000 0.2043 1
# DOS at the Fermi energy ... 5.6 states/eV per cell
# E_form (uncorrected) ... 1.355 eV/atom
# Total energy ... -6.752 eV per atom

(8)
# KSiW2 | the Alexandria database | PBE-GGA | optimized geometry
data_KSiW2
_chemical_formula_sum 'K2 Si2 W4'
_cell_length_a 3.1913
_cell_length_b 4.5363
_cell_length_c 10.1744
_cell_angle_alpha 90.00
_cell_angle_beta 90.00
_cell_angle_gamma 90.00
_space_group_name_H-M_alt 'C m m m'
_space_group_IT_number 65
_space_group_name_Hall '-C 2 2'
loop_
_atom_site_label
_atom_site_type_symbol
_atom_site_fract_x
_atom_site_fract_y
_atom_site_fract_z
_atom_site_occupancy
K1 K 0.0000 0.0000 0.0000 1
Si1 Si 0.0000 0.0000 0.5000 1
W1 W 0.0000 0.5000 0.3030 1
# DOS at the Fermi energy ... 5.5 states/eV per cell
# E_form (uncorrected) ... 0.812 eV/atom
# Total energy ... -7.294 eV per atom

What is the formula in the eighth record? KSiW2